An optimized crystal structure of K3CrF6, computed with GGA+U.

Calculated values
The total magnetization is 3.00 μB/f.u. The total energy comes out at -5.0168 eV per atom.

Cell lengths 6.6019, 6.6019, 5.7428 Å; angles 111.66, 111.66, 109.15 degrees
Last column: nearest neighbours and their distance in Å.
Atoms (fractional coordinates):
K  0.0000  0.0000  0.0000  6 F 2.54-2.81
K  0.2837  0.7163  0.5000  6 F 2.67-2.79
K  0.7163  0.2837  0.5000  6 F 2.67-2.79
Cr  0.5000  0.5000  0.0000  6 F 1.96
F  0.1667  0.4205  0.9465  1 Cr 1.96
F  0.3331  0.3331  0.5633  1 Cr 1.96
F  0.4205  0.1667  0.9465  1 Cr 1.96
F  0.5795  0.8333  0.0535  1 Cr 1.96
F  0.6669  0.6669  0.4367  1 Cr 1.96
F  0.8333  0.5795  0.0535  1 Cr 1.96